# 1
This record from Alexandria via LeMat-Bulk describes a relaxed structure of CaPrTlNi. The functional is PBE.

The structure belongs to space group F-43m (No. 216); the cell edges are 7.439, 7.439 and 7.439 Å and the angles 90.00°, 90.00° and 90.00°. Symmetry generates all atoms from Ca at (0.000, 0.000, 0.000), Pr at (0.000, 0.000, 0.500), Tl at (0.250, 0.250, 0.750) and Ni at (0.250, 0.250, 0.250).

The total energy comes out at -15.6 eV/f.u. Its formation energy is -0.67 eV per formula unit.


# 2
This record from Alexandria via LeMat-Bulk describes a relaxed structure of LaY2Ni. The functional is PBE.

The structure belongs to space group F-43m (No. 216); the cell edges are 7.515, 7.515 and 7.515 Å and the angles 90.00°, 90.00° and 90.00°. Symmetry generates all atoms from La at (0.000, 0.000, 0.000), Y at (0.000, 0.000, 0.500), Y at (0.250, 0.250, 0.250) and Ni at (0.250, 0.250, 0.750).

The total energy comes out at -22.7 eV/f.u. As for the excess energy over the best structure of this formula in the dataset: 1.82 eV per formula unit. Its formation energy is 0.95 eV per formula unit.


# 3
This record from Alexandria via LeMat-Bulk describes a relaxed structure of PrDyTh. The functional is PBE.

The structure belongs to space group I4mm (No. 107); the cell edges are 3.623, 3.623 and 15.267 Å and the angles 90.00°, 90.00° and 90.00°. Symmetry generates all atoms from Pr at (0.000, 0.000, 0.000), Dy at (0.000, 0.000, 0.682) and Th at (0.000, 0.000, 0.337).

The total energy comes out at -16.7 eV/f.u. As for the excess energy over the best structure of this formula in the dataset: 0.08 eV per formula unit. Its formation energy is 0.10 eV per formula unit.


# 4
This record from Alexandria via LeMat-Bulk describes a relaxed structure of Mg5AlAg4. The functional is PBE.

The structure belongs to space group P4/mmm (No. 123); the cell edges are 3.416, 3.416 and 15.985 Å and the angles 90.00°, 90.00° and 90.00°. Symmetry generates all atoms from Mg at (0.000, 0.000, 0.000), Mg at (0.000, 0.000, 0.200), Mg at (0.000, 0.000, 0.397), Al at (0.500, 0.500, 0.500), Ag at (0.500, 0.500, 0.100) and Ag at (0.500, 0.500, 0.301).

The total energy comes out at -25.0 eV/f.u. Its formation energy is -1.88 eV per formula unit.


# 5
This record from Alexandria via LeMat-Bulk describes a relaxed structure of Cd4PbSe. The functional is PBE.

The structure belongs to space group F-43m (No. 216); the cell edges are 8.421, 8.421 and 8.421 Å and the angles 90.00°, 90.00° and 90.00°. Symmetry generates all atoms from Cd at (0.125, 0.125, 0.125), Pb at (0.250, 0.250, 0.750) and Se at (0.000, 0.000, 0.500).

The total energy comes out at -10.2 eV/f.u.


# 6
This record from Alexandria via LeMat-Bulk describes a relaxed structure of Lu2HfTh. The functional is PBE.

The structure belongs to space group P4/mmm (No. 123); the cell edges are 3.985, 3.985 and 7.067 Å and the angles 90.00°, 90.00° and 90.00°. Symmetry generates all atoms from Lu at (0.000, 0.000, 0.231), Hf at (0.500, 0.500, 0.000) and Th at (0.500, 0.500, 0.500).

The total energy comes out at -25.5 eV/f.u. As for the excess energy over the best structure of this formula in the dataset: 0.53 eV per formula unit. Its formation energy is 0.88 eV per formula unit.